The following is a GGA-PBE calculation of a relaxed NdNpRhO6 crystal, from Alexandria.

uncorrected formation energy: -2.16 eV/atom
crystal system: trigonal
total magnetization: 2.0 μB per cell

Structure (POSCAR):
```
NdNpRhO6
1.0
5.726 0.000 0.000
-2.863 4.959 0.000
0.000 0.000 8.498
O Nd Rh Np
12 2 2 2
direct
0.701 0.659 0.121
0.341 0.042 0.121
0.042 0.701 0.879
0.701 0.042 0.379
0.958 0.659 0.379
0.659 0.958 0.879
0.042 0.341 0.621
0.958 0.299 0.121
0.341 0.299 0.379
0.299 0.341 0.879
0.659 0.701 0.621
0.299 0.958 0.621
0.667 0.333 0.750
0.333 0.667 0.250
0.000 0.000 0.500
0.000 0.000 0.000
0.333 0.667 0.750
0.667 0.333 0.250
```